Model P:
Material: Tb3HgC
Method: DFT, PBE
State: relaxed

Its total magnetization is 0.00 Bohr magnetons per cell.

It has space group Pm-3m (No. 221), with a = 4.929 Å, b = 4.929 Å, c = 4.929 Å, α = 90.00°, β = 90.00° and γ = 90.00°. The distinct sites, in fractional coordinates, are Tb at (0.000, 0.000, 0.500), Hg at (0.500, 0.500, 0.500) and C at (0.000, 0.000, 0.000).



Model Q:
Material: Tb3HgC
Method: DFT, PBE
State: relaxed

Its total magnetization is 0.00 Bohr magnetons per cell.

It has space group Pnma (No. 62), with a = 8.825 Å, b = 3.657 Å, c = 14.769 Å, α = 90.00°, β = 90.00° and γ = 90.00°. The distinct sites, in fractional coordinates, are Tb at (0.023, 0.250, 0.099), Tb at (0.180, 0.250, 0.506), Tb at (0.217, 0.750, 0.301), Hg at (0.079, 0.750, 0.673) and C at (0.155, 0.250, 0.947).



Ordering by calculated energy gives the sequence model Q, model P, with the first entry being the most stable.



Model P:
Material: HgTe2C
Method: DFT, PBE
State: relaxed

Its total magnetization is 0.00 Bohr magnetons per cell.

It has space group R-3m (No. 166, hexagonal axes), with a = 5.5033 Å, b = 5.5033 Å, c = 21.1712 Å, α = 90.00°, β = 90.00° and γ = 120.00°. The distinct sites, in fractional coordinates, are Hg at (0.0000, 0.0000, 0.0000), Te at (0.0000, 0.0000, 0.4091) and C at (0.0000, 0.0000, 0.5000).



Model Q:
Material: HgTe2C
Method: DFT, PBE
State: relaxed

Its total magnetization is 0.00 Bohr magnetons per cell.

It has space group R-3m (No. 166, hexagonal axes), with a = 3.3695 Å, b = 3.3695 Å, c = 30.1312 Å, α = 90.00°, β = 90.00° and γ = 120.00°. The distinct sites, in fractional coordinates, are Hg at (0.0000, 0.0000, 0.0000), Te at (0.0000, 0.0000, 0.1153) and C at (0.0000, 0.0000, 0.5000).



Ordering by calculated energy gives the sequence model P, model Q, with the first entry being the most stable.



Model P:
Material: HgTe2C
Method: DFT, PBE
State: relaxed

Its total magnetization is 0.00 Bohr magnetons per cell.

It has space group I-42d (No. 122), with a = 5.906 Å, b = 5.906 Å, c = 12.639 Å, α = 90.00°, β = 90.00° and γ = 90.00°. The distinct sites, in fractional coordinates, are Hg at (0.000, 0.000, 0.000), Te at (0.164, 0.250, 0.625) and C at (0.000, 0.000, 0.500).



Model Q:
Material: HgTe2C
Method: DFT, PBE
State: relaxed

Its total magnetization is 0.00 Bohr magnetons per cell.

It has space group Fm-3m (No. 225), with a = 7.069 Å, b = 7.069 Å, c = 7.069 Å, α = 90.00°, β = 90.00° and γ = 90.00°. The distinct sites, in fractional coordinates, are Hg at (0.000, 0.000, 0.000), Te at (0.250, 0.250, 0.250) and C at (0.000, 0.000, 0.500).



Ordering by calculated energy gives the sequence model P, model Q, with the first entry being the most stable.



Model P:
Material: Hg3TeC
Method: DFT, PBE
State: relaxed

Its total magnetization is 2.58 Bohr magnetons per cell.

It has space group Pm-3m (No. 221), with a = 5.920 Å, b = 5.920 Å, c = 5.920 Å, α = 90.00°, β = 90.00° and γ = 90.00°. The distinct sites, in fractional coordinates, are Hg at (0.000, 0.000, 0.500), Te at (0.000, 0.000, 0.000) and C at (0.500, 0.500, 0.500).



Model Q:
Material: Hg3TeC
Method: DFT, PBE
State: relaxed

Its total magnetization is 0.00 Bohr magnetons per cell.

It has space group Pm-3m (No. 221), with a = 4.822 Å, b = 4.822 Å, c = 4.822 Å, α = 90.00°, β = 90.00° and γ = 90.00°. The distinct sites, in fractional coordinates, are Hg at (0.000, 0.000, 0.500), Te at (0.500, 0.500, 0.500) and C at (0.000, 0.000, 0.000).



Ordering by calculated energy gives the sequence model Q, model P, with the first entry being the most stable.



Model P:
Material: Th3HgC2
Method: DFT, PBE
State: relaxed

Its total magnetization is 0.00 Bohr magnetons per cell.

It has space group P2_1/m (No. 11), with a = 5.801 Å, b = 4.060 Å, c = 13.308 Å, α = 90.00°, β = 93.65° and γ = 90.00°. The distinct sites, in fractional coordinates, are Th at (0.167, 0.250, 0.257), Th at (0.213, 0.250, 0.942), Th at (0.251, 0.750, 0.526), Hg at (0.378, 0.250, 0.717), C at (0.004, 0.750, 0.911) and C at (0.150, 0.250, 0.437).



Model Q:
Material: Th3HgC2
Method: DFT, PBE
State: relaxed

Its total magnetization is 0.00 Bohr magnetons per cell.

It has space group Pmma (No. 51), with a = 6.484 Å, b = 3.682 Å, c = 11.120 Å, α = 90.00°, β = 90.00° and γ = 90.00°. The distinct sites, in fractional coordinates, are Th at (0.000, 0.000, 0.000), Th at (0.006, 0.500, 0.278), Hg at (0.250, 0.000, 0.518), C at (0.250, 0.000, 0.196) and C at (0.250, 0.500, 0.891).



Ordering by calculated energy gives the sequence model Q, model P, with the first entry being the most stable.



Model P:
Material: Ti4Hg2C
Method: DFT, PBE
State: relaxed

Its total magnetization is 0.00 Bohr magnetons per cell.

It has space group I4/mmm (No. 139), with a = 4.197 Å, b = 4.197 Å, c = 13.806 Å, α = 90.00°, β = 90.00° and γ = 90.00°. The distinct sites, in fractional coordinates, are Ti at (0.000, 0.000, 0.155), Ti at (0.000, 0.500, 0.000), Hg at (0.000, 0.000, 0.357) and C at (0.000, 0.000, 0.000).



Model Q:
Material: Ti4Hg2C
Method: DFT, PBE
State: relaxed

Its total magnetization is 0.00 Bohr magnetons per cell.

It has space group Pbam (No. 55), with a = 7.462 Å, b = 10.274 Å, c = 3.155 Å, α = 90.00°, β = 90.00° and γ = 90.00°. The distinct sites, in fractional coordinates, are Ti at (0.134, 0.175, 0.000), Ti at (0.165, 0.934, 0.500), Hg at (0.051, 0.638, 0.500) and C at (0.000, 0.000, 0.000).



Ordering by calculated energy gives the sequence model Q, model P, with the first entry being the most stable.



Model P:
Material: TlHg2C
Method: DFT, PBE
State: relaxed

Its total magnetization is 0.00 Bohr magnetons per cell.

It has space group Fd-3m (No. 227, origin choice 2), with a = 9.772 Å, b = 9.772 Å, c = 9.772 Å, α = 90.00°, β = 90.00° and γ = 90.00°. The distinct sites, in fractional coordinates, are Tl at (0.125, 0.125, 0.125), Hg at (0.000, 0.000, 0.500) and C at (0.125, 0.125, 0.625).



Model Q:
Material: TlHg2C
Method: DFT, PBE
State: relaxed

Its total magnetization is 3.30 Bohr magnetons per cell.

It has space group Fm-3m (No. 225), with a = 7.082 Å, b = 7.082 Å, c = 7.082 Å, α = 90.00°, β = 90.00° and γ = 90.00°. The distinct sites, in fractional coordinates, are Tl at (0.000, 0.000, 0.000), Hg at (0.250, 0.250, 0.250) and C at (0.000, 0.000, 0.500).



Ordering by calculated energy gives the sequence model P, model Q, with the first entry being the most stable.



Model P:
Material: Tl2HgC
Method: DFT, PBE
State: relaxed

Its total magnetization is 0.00 Bohr magnetons per cell.

It has space group I-42d (No. 122), with a = 6.651 Å, b = 6.651 Å, c = 9.858 Å, α = 90.00°, β = 90.00° and γ = 90.00°. The distinct sites, in fractional coordinates, are Tl at (0.150, 0.250, 0.125), Hg at (0.000, 0.000, 0.500) and C at (0.000, 0.000, 0.000).



Model Q:
Material: Tl2HgC
Method: DFT, PBE
State: relaxed

Its total magnetization is 1.68 Bohr magnetons per cell.

It has space group Fm-3m (No. 225), with a = 7.212 Å, b = 7.212 Å, c = 7.212 Å, α = 90.00°, β = 90.00° and γ = 90.00°. The distinct sites, in fractional coordinates, are Tl at (0.250, 0.250, 0.250), Hg at (0.000, 0.000, 0.000) and C at (0.000, 0.000, 0.500).



Ordering by calculated energy gives the sequence model P, model Q, with the first entry being the most stable.



Model P:
Material: Tl3HgC
Method: DFT, PBE
State: relaxed

Its total magnetization is 0.00 Bohr magnetons per cell.

It has space group Pm-3m (No. 221), with a = 5.134 Å, b = 5.134 Å, c = 5.134 Å, α = 90.00°, β = 90.00° and γ = 90.00°. The distinct sites, in fractional coordinates, are Tl at (0.000, 0.000, 0.500), Hg at (0.500, 0.500, 0.500) and C at (0.000, 0.000, 0.000).



Model Q:
Material: Tl3HgC
Method: DFT, PBE
State: relaxed

Its total magnetization is 2.30 Bohr magnetons per cell.

It has space group Pm-3m (No. 221), with a = 5.824 Å, b = 5.824 Å, c = 5.824 Å, α = 90.00°, β = 90.00° and γ = 90.00°. The distinct sites, in fractional coordinates, are Tl at (0.000, 0.000, 0.500), Hg at (0.000, 0.000, 0.000) and C at (0.500, 0.500, 0.500).



Ordering by calculated energy gives the sequence model P, model Q, with the first entry being the most stable.



Model P:
Material: Tm4Hg2C
Method: DFT, PBE
State: relaxed

Its total magnetization is 1.59 Bohr magnetons per cell.

It has space group Pbam (No. 55), with a = 7.517 Å, b = 12.583 Å, c = 3.688 Å, α = 90.00°, β = 90.00° and γ = 90.00°. The distinct sites, in fractional coordinates, are Tm at (0.119, 0.179, 0.000), Tm at (0.206, 0.952, 0.500), Hg at (0.068, 0.664, 0.500) and C at (0.000, 0.000, 0.000).



Model Q:
Material: Tm4Hg2C
Method: DFT, PBE
State: relaxed

Its total magnetization is 0.00 Bohr magnetons per cell.

It has space group I4/mmm (No. 139), with a = 4.812 Å, b = 4.812 Å, c = 14.693 Å, α = 90.00°, β = 90.00° and γ = 90.00°. The distinct sites, in fractional coordinates, are Tm at (0.000, 0.000, 0.166), Tm at (0.000, 0.500, 0.000), Hg at (0.000, 0.000, 0.368) and C at (0.000, 0.000, 0.000).



Ordering by calculated energy gives the sequence model Q, model P, with the first entry being the most stable.



Model P:
Material: VHgC3
Method: DFT, PBE
State: relaxed

Its total magnetization is 0.00 Bohr magnetons per cell.

It has space group Pm-3m (No. 221), with a = 4.016 Å, b = 4.016 Å, c = 4.016 Å, α = 90.00°, β = 90.00° and γ = 90.00°. The distinct sites, in fractional coordinates, are V at (0.000, 0.000, 0.000), Hg at (0.500, 0.500, 0.500) and C at (0.000, 0.000, 0.500).



Model Q:
Material: VHgC3
Method: DFT, PBE
State: relaxed

Its total magnetization is 2.07 Bohr magnetons per cell.

It has space group Pm-3m (No. 221), with a = 4.216 Å, b = 4.216 Å, c = 4.216 Å, α = 90.00°, β = 90.00° and γ = 90.00°. The distinct sites, in fractional coordinates, are V at (0.000, 0.000, 0.000), Hg at (0.500, 0.500, 0.500) and C at (0.000, 0.500, 0.500).



Ordering by calculated energy gives the sequence model P, model Q, with the first entry being the most stable.



Model P:
Material: V3HgC
Method: DFT, PBE
State: relaxed

Its total magnetization is 6.70 Bohr magnetons per cell.

It has space group Pm-3m (No. 221), with a = 4.969 Å, b = 4.969 Å, c = 4.969 Å, α = 90.00°, β = 90.00° and γ = 90.00°. The distinct sites, in fractional coordinates, are V at (0.000, 0.000, 0.500), Hg at (0.000, 0.000, 0.000) and C at (0.500, 0.500, 0.500).



Model Q:
Material: V3HgC
Method: DFT, PBE
State: relaxed

Its total magnetization is 0.00 Bohr magnetons per cell.

It has space group Pm-3m (No. 221), with a = 4.053 Å, b = 4.053 Å, c = 4.053 Å, α = 90.00°, β = 90.00° and γ = 90.00°. The distinct sites, in fractional coordinates, are V at (0.000, 0.000, 0.500), Hg at (0.500, 0.500, 0.500) and C at (0.000, 0.000, 0.000).



Ordering by calculated energy gives the sequence model Q, model P, with the first entry being the most stable.